GGA-PBEsol CdRh3, optimized geometry; ΔE_f = 0.066 eV per atom; volume = 234.01 Å³ per cell
1.0
-3.9980 2.4985 0.8473
-2.8727 -3.5897 -2.9699
-1.4907 -4.8707 7.3292
Rh Cd
12 4
direct
0.7671 0.1252 0.5072
0.5831 0.3620 0.7500
0.2671 0.3748 0.5072
0.0831 0.1380 0.7500
0.2329 0.8748 0.4928
0.7671 0.1252 0.9928
0.4169 0.6380 0.2500
0.2329 0.8748 0.0072
0.2671 0.3748 0.9928
0.7329 0.6252 0.4928
0.9169 0.8620 0.2500
0.7329 0.6252 0.0072
0.5704 0.8717 0.7500
0.9296 0.3717 0.2500
0.0704 0.6283 0.7500
0.4296 0.1283 0.2500

***

GGA-PBEsol Y2AsS, optimized geometry; raw formation energy = -1.887 eV/atom; volume = 88.31 Å³ per cell
1.0
3.9787 0.0000 0.0000
1.9894 3.4457 0.0000
1.9894 1.1486 6.4416
S As Y
1 1 2
direct
0.5000 0.5000 0.5000
0.0000 0.0000 0.0000
0.2489 0.2489 0.2533
0.7511 0.7511 0.7467